Record 1
Entry from the Alexandria database: a geometry-optimized SbTe2RuCl structure (GGA-PBE).

* excess energy over the best structure of this formula in the dataset: 0.0 meV per atom
* N(E_F): 7.8 states/eV per cell
* formation energy (no corrections): 0.343 eV/atom
* symmetry: No. 123
* total moment: 0.00 μB/atom

a = 5.217 Å, b = 5.217 Å, c = 5.201 Å
α = 90.00°, β = 90.00°, γ = 90.00°
Sites, in units of the cell vectors:
Sb1 0.000 0.000 0.500
Cl1 0.500 0.500 0.500
Ru1 0.000 0.000 0.000
Te1 0.500 0.000 0.000
Te2 0.000 0.500 0.000

***

Record 2
Entry from the Alexandria database: a geometry-optimized NaHfBiPt2 structure (GGA-PBE).

* N(E_F): 5.4 states/eV per cell
* symmetry: No. 123
* total moment: 0.00 μB/atom
* energy of formation from the pure elements: 962 meV per atom

a = 5.083 Å, b = 4.983 Å, c = 5.083 Å
α = 90.00°, β = 90.00°, γ = 90.00°
Sites, in units of the cell vectors:
Na1 0.000 0.500 0.000
Pt1 0.000 0.000 0.500
Pt2 0.500 0.000 0.000
Bi1 0.000 0.000 0.000
Hf1 0.500 0.500 0.500

***

Record 3
Entry from the Alexandria database: a geometry-optimized Na4SmPu3S8 structure (GGA-PBE).

* N(E_F): 27.6 states/eV per cell
* formation energy (no corrections): -1.610 eV/atom
* symmetry: No. 166
* total moment: 0.94 μB/atom

a = 8.109 Å, b = 8.120 Å, c = 8.109 Å
α = 119.97°, β = 120.00°, γ = 90.00°
Last column: magnetic moment on the atom in μB.
Sites, in units of the cell vectors:
S1 0.259 0.277 0.518  -0.11
S2 0.755 0.271 0.015  -0.07
S3 0.741 0.723 0.482  -0.11
S4 0.245 0.729 0.489  -0.07
S5 0.755 0.271 0.511  -0.07
S6 0.245 0.729 0.985  -0.07
S7 0.260 0.271 0.015  -0.07
S8 0.740 0.729 0.985  -0.07
Na1 0.000 0.000 0.000  0.00
Na2 0.500 0.000 0.500  0.00
Na3 0.500 0.000 0.000  0.00
Na4 0.000 0.000 0.500  0.00
Pu1 0.000 0.500 0.500  5.04
Pu2 0.500 0.500 0.500  5.04
Pu3 0.500 0.500 0.000  5.04
Sm1 0.000 0.500 0.000  0.06